# 1
Computed, not measured: crystalline HoMg2Sn2 at its relaxed geometry at the PBE-GGA level of DFT.

Cell and atoms, written as POSCAR:
```
HoMg2Sn2
1.0
-1.9519 1.9949 3.4149
-1.4138 -3.9392 1.4930
11.4085 -2.2127 4.9655
Ho Mg Sn
2 4 4
direct
0.3478 0.2500 0.6957
0.6522 0.7500 0.3043
0.0464 0.7500 0.0927
0.4544 0.7500 0.9089
0.9536 0.2500 0.9073
0.5456 0.2500 0.0911
0.7494 0.2500 0.4987
0.2506 0.7500 0.5013
0.8719 0.7500 0.7438
0.1281 0.2500 0.2562
```

calculated volume	243.86	Å³ per cell
space group	Cmcm (63)
energy of formation	-0.375	eV/atom
polymorph energy (0 for the lowest one)	0.0000	eV per atom
crystal system	orthorhombic
total magnetization	0.000	μB per atom

# 2
Computed, not measured: crystalline Ho3MgSn12 at its relaxed geometry at the PBE-GGA level of DFT.

Cell and atoms, written as POSCAR:
```
Ho3MgSn12
1.0
-0.9090 -0.1840 -4.5783
3.7492 -2.7131 -0.6354
-10.7486 -15.4992 2.7572
Ho Mg Sn
3 1 12
direct
0.0000 0.0000 0.2555
0.0000 0.0000 0.5000
0.0000 0.0000 0.7445
0.0000 0.0000 0.0000
0.5000 0.5000 0.0000
0.5000 0.5000 0.2490
0.5000 0.5000 0.5000
0.5000 0.5000 0.7510
0.5000 0.0000 0.1240
0.5000 0.0000 0.3761
0.5000 0.0000 0.6239
0.5000 0.0000 0.8760
0.0000 0.5000 0.1240
0.0000 0.5000 0.3761
0.0000 0.5000 0.6239
0.0000 0.5000 0.8760
```

calculated volume	415.95	Å³ per cell
space group	P4/mmm (123)
energy of formation	-0.311	eV/atom
crystal system	tetragonal
total magnetization	0.000	μB per atom

# 3
Computed, not measured: crystalline HoMgSn at its relaxed geometry at the PBE-GGA level of DFT.

Cell and atoms, written as POSCAR:
```
HoMgSn
1.0
-6.3495 -4.9268 -2.8210
-3.6104 -7.4067 2.1573
2.9932 7.6719 2.1748
Ho Mg Sn
2 2 2
direct
0.6670 0.6670 0.0000
0.3330 0.3330 0.0000
0.0000 0.5000 0.5000
0.5000 0.0000 0.5000
0.1365 0.1365 0.0000
0.8635 0.8635 0.0000
```

calculated volume	152.47	Å³ per cell
space group	I4/mmm (139)
energy of formation	-0.562	eV/atom
crystal system	tetragonal
total magnetization	0.000	μB per atom

# 4
Computed, not measured: crystalline HoMg2Sn3 at its relaxed geometry at the PBE-GGA level of DFT.

Cell and atoms, written as POSCAR:
```
HoMg2Sn3
1.0
4.3440 0.0000 0.0000
0.0000 4.4300 -1.4979
0.0000 0.0936 7.5769
Ho Mg Sn
1 2 3
direct
0.0000 0.0000 0.0000
0.0000 0.6696 0.3392
0.0000 0.3304 0.6608
0.5000 0.1688 0.3377
0.5000 0.5000 0.0000
0.5000 0.8312 0.6623
```

calculated volume	146.42	Å³ per cell
space group	Cmmm (65)
energy of formation	-0.355	eV/atom
polymorph energy (0 for the lowest one)	0.0000	eV per atom
crystal system	orthorhombic
total magnetization	0.000	μB per atom

# 5
Computed, not measured: crystalline Ho4Mg3Sn at its relaxed geometry at the PBE-GGA level of DFT.

Cell and atoms, written as POSCAR:
```
Ho4Mg3Sn
1.0
5.0853 0.0000 1.5011
2.3211 4.5246 1.5011
0.0489 0.0299 9.1985
Mg Ho Sn
3 4 1
direct
0.2457 0.2457 0.2629
0.7543 0.7543 0.7371
0.5000 0.5000 0.5000
0.8758 0.8758 0.3725
0.3747 0.3747 0.8758
0.1242 0.1242 0.6275
0.6253 0.6253 0.1242
0.0000 0.0000 0.0000
```

calculated volume	211.19	Å³ per cell
space group	R-3m (166)
energy of formation	-0.256	eV/atom
crystal system	trigonal
total magnetization	0.000	μB per atom

# 6
Computed, not measured: crystalline HoMgSn at its relaxed geometry at the PBE-GGA level of DFT.

Cell and atoms, written as POSCAR:
```
HoMgSn
1.0
3.5036 0.0000 0.0000
0.0000 3.5036 0.0000
-1.7518 -1.7518 6.2576
Mg Ho Sn
1 1 1
direct
0.9385 0.9385 0.8769
0.6203 0.6203 0.2406
0.2912 0.2912 0.5824
```

calculated volume	76.81	Å³ per cell
space group	I4mm (107)
energy of formation	-0.283	eV/atom
crystal system	tetragonal
total magnetization	0.000	μB per atom

# 7
Computed, not measured: crystalline HoMgSn at its relaxed geometry at the PBE-GGA level of DFT.

Cell and atoms, written as POSCAR:
```
HoMgSn
1.0
-3.4064 -1.2572 2.6430
0.3556 -3.2535 -4.9049
3.7754 -4.0318 2.9481
Ho Mg Sn
2 2 2
direct
0.1958 0.3916 0.7500
0.8042 0.6084 0.2500
0.5000 0.0000 0.5000
0.5000 0.0000 0.0000
0.1097 0.2194 0.2500
0.8903 0.7806 0.7500
```

calculated volume	153.31	Å³ per cell
space group	Cmcm (63)
energy of formation	-0.471	eV/atom
crystal system	orthorhombic
total magnetization	0.000	μB per atom

# 8
Computed, not measured: crystalline Ho4Mg9Sn11 at its relaxed geometry at the PBE-GGA level of DFT.

Cell and atoms, written as POSCAR:
```
Ho4Mg9Sn11
1.0
-0.0167 -0.0780 3.4267
0.0382 -13.6803 -0.3112
12.7349 5.0039 0.1759
Ho Mg Sn
4 9 11
direct
0.5000 0.5826 0.7562
0.5000 0.4174 0.2438
0.5000 0.7562 0.5826
0.5000 0.2438 0.4174
0.5000 0.6197 0.1665
0.5000 0.3803 0.8335
0.5000 0.1665 0.6197
0.5000 0.8335 0.3803
0.5000 0.7996 0.9870
0.5000 0.2004 0.0130
0.5000 0.9870 0.7996
0.5000 0.0130 0.2004
0.5000 0.5000 0.5000
0.0000 0.5917 0.9591
0.0000 0.4083 0.0409
0.0000 0.9591 0.5917
0.0000 0.0409 0.4083
0.0000 0.6222 0.3778
0.0000 0.3778 0.6222
0.0000 0.8166 0.1834
0.0000 0.1834 0.8166
0.0000 0.0000 0.0000
0.0000 0.7899 0.7899
0.0000 0.2101 0.2101
```

calculated volume	597.98	Å³ per cell
space group	Cmmm (65)
energy of formation	-0.238	eV/atom
crystal system	orthorhombic
total magnetization	0.000	μB per atom